<w>
First-principles (GGA-PBE) data for a relaxed MnNiW2 crystal, as listed in the Alexandria database.

Unit cell a=6.651 b=6.651 c=5.274 alpha=90.00 beta=90.00 gamma=90.00
Element x y z (fractional)
Mn1 0.000 0.000 0.000
Mn2 0.000 0.500 0.250
Mn3 0.500 0.000 0.750
Mn4 0.500 0.500 0.500
Ni1 0.000 0.000 0.500
Ni2 0.000 0.500 0.750
Ni3 0.500 0.000 0.250
Ni4 0.500 0.500 0.000
W1 0.239 0.750 0.125
W2 0.250 0.239 0.875
W3 0.250 0.261 0.375
W4 0.261 0.750 0.625
W5 0.739 0.250 0.625
W6 0.750 0.739 0.375
W7 0.750 0.761 0.875
W8 0.761 0.250 0.125

Results
Magnetization: 0.0 Bohr magnetons per cell

<x>
First-principles (GGA-PBE) data for a relaxed MnNiW2 crystal, as listed in the Alexandria database.

Unit cell a=2.660 b=4.330 c=4.781 alpha=90.00 beta=96.05 gamma=90.00
Element x y z (fractional)
Mn1 0.000 0.000 0.000
Ni1 0.970 0.500 0.295
W1 0.353 0.500 0.808
W2 0.572 0.000 0.490

Results
Magnetization: 1.4 Bohr magnetons per cell

Which one is the most stable? From the structures above, <x>.